*i*
The following is a PBE calculation of crystalline HfIn2As at its relaxed geometry, from Alexandria.

For the volume, the calculation gives 374.2 Å³ per cell. The density of states at the Fermi level comes out at 2.74 states/eV/f.u.

CIF file:
```
data_HfIn2As
_chemical_formula_sum 'Hf4 In8 As4'
_symmetry_space_group_name_H-M 'I -4 2 d'
_symmetry_Int_Tables_number 122
_symmetry_space_group_name_Hall 'I -4 2bw'
_cell_length_a 8.113
_cell_length_b 8.113
_cell_length_c 5.685
_cell_angle_alpha 90.00
_cell_angle_beta 90.00
_cell_angle_gamma 90.00
loop_
_atom_site_label
_atom_site_type_symbol
_atom_site_fract_x
_atom_site_fract_y
_atom_site_fract_z
Hf1 Hf 0.000 0.000 0.000
In1 In 0.231 0.250 0.625
As1 As 0.000 0.000 0.500
```


*ii*
The following is a PBE calculation of crystalline HfIn2As at its relaxed geometry, from Alexandria.

For the volume, the calculation gives 371.7 Å³ per cell. The density of states at the Fermi level comes out at 3.90 states/eV/f.u.

CIF file:
```
data_HfIn2As
_chemical_formula_sum 'Hf4 In8 As4'
_symmetry_space_group_name_H-M 'F m -3 m'
_symmetry_Int_Tables_number 225
_symmetry_space_group_name_Hall '-F 4 2 3'
_cell_length_a 7.190
_cell_length_b 7.190
_cell_length_c 7.190
_cell_angle_alpha 90.00
_cell_angle_beta 90.00
_cell_angle_gamma 90.00
loop_
_atom_site_label
_atom_site_type_symbol
_atom_site_fract_x
_atom_site_fract_y
_atom_site_fract_z
Hf1 Hf 0.000 0.000 0.000
In1 In 0.250 0.250 0.250
As1 As 0.000 0.000 0.500
```


Relative stability in meV/atom, measured from the most stable structure: *i* 0; *ii* 238